[1]
Crystalline HfVTc2 at its relaxed geometry. Source: Alexandria via LeMat-Bulk, functional PBE.

```
data_HfVTc2
_chemical_formula_sum 'Hf1 V1 Tc2'
_cell_length_a 3.171
_cell_length_b 4.443
_cell_length_c 4.443
_cell_angle_alpha 90.00
_cell_angle_beta 90.00
_cell_angle_gamma 90.00
_space_group_name_H-M_alt 'P 1'
_space_group_IT_number 1
_space_group_name_Hall 'P 1'
loop_
_atom_site_label
_atom_site_type_symbol
_atom_site_fract_x
_atom_site_fract_y
_atom_site_fract_z
_atom_site_occupancy
V1 V 0.500 0.000 0.000 1
Hf1 Hf 0.500 0.500 0.500 1
Tc1 Tc 0.000 0.500 0.000 1
Tc2 Tc 0.000 0.000 0.500 1
```

Properties
**V**: 15.65 Å³/atom
**Electronic total energy**: -41.2 eV/cell
**Total magnetization**: 0.0 μB per cell
**E_form**: -345 meV per atom


[2]
Crystalline LiNp2ScN4 at its relaxed geometry. Source: Alexandria via LeMat-Bulk, functional PBE.

```
data_LiNp2ScN4
_chemical_formula_sum 'Li1 Np2 Sc1 N4'
_cell_length_a 3.397
_cell_length_b 5.641
_cell_length_c 5.867
_cell_angle_alpha 70.37
_cell_angle_beta 90.00
_cell_angle_gamma 90.00
_space_group_name_H-M_alt 'P 1'
_space_group_IT_number 1
_space_group_name_Hall 'P 1'
loop_
_atom_site_label
_atom_site_type_symbol
_atom_site_fract_x
_atom_site_fract_y
_atom_site_fract_z
_atom_site_occupancy
N1 N 0.500 0.247 0.739 1
N2 N 0.000 0.223 0.278 1
Np1 Np 0.500 0.000 0.500 1
Li1 Li 0.500 0.500 0.000 1
Sc1 Sc 0.000 0.500 0.500 1
N3 N 0.500 0.753 0.261 1
Np2 Np 0.000 0.000 0.000 1
N4 N 0.000 0.777 0.722 1
```

Properties
**V**: 13.24 Å³/atom
**Electronic total energy**: -76.6 eV/cell
**Total magnetization**: 5.9 μB per cell
**E_form (uncorrected)**: -1.145 eV per atom